(1)
Computed, not measured: crystalline Ce2SiBPt6 at its relaxed geometry at the PBE-GGA level of DFT.

Density of states at the Fermi level in states/eV/cell: 26.424
Volume in Å³/cell: 360
M_tot in μB per atom: 0.12
Raw formation energy in eV/atom: -0.895
Crystal system: orthorhombic
Total energy in Ry per atom: -0.50835

```
data_Ce2SiBPt6
_space_group_name_H-M_alt 'P m m n'
_space_group_IT_number 59
_cell_length_a 5.716
_cell_length_b 8.642
_cell_length_c 7.293
_cell_angle_alpha 90.00
_cell_angle_beta 90.00
_cell_angle_gamma 90.00
loop_
_space_group_symop_operation_xyz
'x,y,z'
'-x,-y,-z'
'-x+1/2,-y+1/2,z'
'x+1/2,y+1/2,-z'
'x+1/2,-y,-z'
'-x+1/2,y,z'
'-x,y+1/2,-z'
'x,-y+1/2,z'
loop_
_atom_site_label
_atom_site_type_symbol
_atom_site_fract_x
_atom_site_fract_y
_atom_site_fract_z
Ce1 Ce 0.250 0.032 0.216
Si1 Si 0.250 0.750 0.813
B1 B 0.250 0.250 0.700
Pt1 Pt 0.004 0.250 0.921
Pt2 Pt 0.008 0.750 0.507
Pt3 Pt 0.250 0.002 0.662
```

(2)
Computed, not measured: crystalline TmTlHg4 at its relaxed geometry at the PBE-GGA level of DFT.

Energy of formation in eV per atom: -0.02
Excess energy over the best structure of this formula in the dataset in meV/atom: 138
Density of states at the Fermi level in states/eV/cell: 12.872
Volume in Å³/cell: 623
M_tot in μB per atom: 0.00
Crystal system: cubic
Total energy in Ry per atom: -0.10021

```
data_TmTlHg4
_space_group_name_H-M_alt 'F -4 3 m'
_space_group_IT_number 216
_space_group_name_Hall 'F -4 2 3'
_cell_length_a 8.541
_cell_length_b 8.541
_cell_length_c 8.541
_cell_angle_alpha 90.00
_cell_angle_beta 90.00
_cell_angle_gamma 90.00
loop_
_atom_site_label
_atom_site_type_symbol
_atom_site_fract_x
_atom_site_fract_y
_atom_site_fract_z
Tm1 Tm 0.000 0.000 0.000
Tl1 Tl 0.250 0.250 0.750
Hg1 Hg 0.125 0.125 0.375
```